Entry 1:
The following is a DFT calculation (PBE-GGA) of an optimized crystal structure of Sr5Sn2N6.

```
data_Sr5Sn2N6
_space_group_name_H-M_alt 'C 1 2/c 1'
_space_group_IT_number 15
_cell_length_a 10.917
_cell_length_b 6.904
_cell_length_c 13.883
_cell_angle_alpha 90.00
_cell_angle_beta 99.93
_cell_angle_gamma 90.00
loop_
_space_group_symop_operation_xyz
'x,y,z'
'-x,-y,-z'
'-x,y,-z+1/2'
'x,-y,z+1/2'
'x+1/2,y+1/2,z'
'-x+1/2,-y+1/2,-z'
'-x+1/2,y+1/2,-z+1/2'
'x+1/2,-y+1/2,z+1/2'
loop_
_atom_site_label
_atom_site_fract_x
_atom_site_fract_y
_atom_site_fract_z
_atom_site_occupancy
Sr1 0.000 0.132 0.250 1
Sr2 0.045 0.228 0.999 1
Sr3 0.157 0.388 0.717 1
Sn1 0.219 0.398 0.426 1
N1 0.041 0.492 0.375 1
N2 0.145 0.026 0.654 1
N3 0.194 0.081 0.424 1
```

Calculated values
Raw formation energy, meV per atom: -437

***

Entry 2:
The following is a DFT calculation (PBE-GGA) of an optimized crystal structure of SrSn3N.

```
data_SrSn3N
_space_group_name_H-M_alt 'P m -3 m'
_space_group_IT_number 221
_space_group_name_Hall '-P 4 2 3'
_cell_length_a 6.091
_cell_length_b 6.091
_cell_length_c 6.091
_cell_angle_alpha 90.00
_cell_angle_beta 90.00
_cell_angle_gamma 90.00
loop_
_atom_site_label
_atom_site_fract_x
_atom_site_fract_y
_atom_site_fract_z
_atom_site_occupancy
Sr1 0.000 0.000 0.000 1
Sn1 0.000 0.000 0.500 1
N1 0.500 0.500 0.500 1
```

Calculated values
Energy above the lowest structure with this stoichiometry, eV per formula unit: 9.63
Raw formation energy, meV per atom: 2129
Density of states at the Fermi level, states/eV/cell: 9.85

***

Entry 3:
The following is a DFT calculation (PBE-GGA) of an optimized crystal structure of Sr7SnN2.

```
data_Sr7SnN2
_space_group_name_H-M_alt 'C m m m'
_space_group_IT_number 65
_space_group_name_Hall '-C 2 2'
_cell_length_a 10.904
_cell_length_b 12.997
_cell_length_c 5.065
_cell_angle_alpha 90.00
_cell_angle_beta 90.00
_cell_angle_gamma 90.00
loop_
_atom_site_label
_atom_site_fract_x
_atom_site_fract_y
_atom_site_fract_z
_atom_site_occupancy
Sr1 0.000 0.000 0.000 1
Sr2 0.000 0.202 0.500 1
Sr3 0.156 0.360 0.000 1
Sn1 0.000 0.500 0.500 1
N1 0.000 0.220 0.000 1
```

Calculated values
Raw formation energy, meV per atom: -274
Density of states at the Fermi level, states/eV/cell: 9.71

***

Entry 4:
The following is a DFT calculation (PBE-GGA) of an optimized crystal structure of SrSn3N.

```
data_SrSn3N
_space_group_name_H-M_alt 'P m -3 m'
_space_group_IT_number 221
_space_group_name_Hall '-P 4 2 3'
_cell_length_a 4.979
_cell_length_b 4.979
_cell_length_c 4.979
_cell_angle_alpha 90.00
_cell_angle_beta 90.00
_cell_angle_gamma 90.00
loop_
_atom_site_label
_atom_site_fract_x
_atom_site_fract_y
_atom_site_fract_z
_atom_site_occupancy
Sr1 0.000 0.000 0.000 1
Sn1 0.000 0.500 0.500 1
N1 0.500 0.500 0.500 1
```

Calculated values
Energy above the lowest structure with this stoichiometry, eV per formula unit: 0.00
Raw formation energy, meV per atom: 202
Density of states at the Fermi level, states/eV/cell: 4.12

***

Entry 5:
The following is a DFT calculation (PBE-GGA) of an optimized crystal structure of SrTb2SnN4.

```
data_SrTb2SnN4
_space_group_name_H-M_alt 'C m c m'
_space_group_IT_number 63
_space_group_name_Hall '-C 2c 2'
_cell_length_a 3.507
_cell_length_b 12.193
_cell_length_c 12.317
_cell_angle_alpha 90.00
_cell_angle_beta 90.00
_cell_angle_gamma 90.00
loop_
_atom_site_label
_atom_site_fract_x
_atom_site_fract_y
_atom_site_fract_z
_atom_site_occupancy
Sr1 0.000 0.107 0.250 1
Tb1 0.000 0.370 0.032 1
Sn1 0.000 0.159 0.750 1
N1 0.000 0.000 0.000 1
N2 0.000 0.258 0.615 1
N3 0.000 0.441 0.250 1
```

Calculated values
Raw formation energy, meV per atom: -894

***

Entry 6:
The following is a DFT calculation (PBE-GGA) of an optimized crystal structure of SrSnTe2N.

```
data_SrSnTe2N
_space_group_name_H-M_alt 'P 4/m m m'
_space_group_IT_number 123
_space_group_name_Hall '-P 4 2'
_cell_length_a 6.207
_cell_length_b 6.207
_cell_length_c 4.778
_cell_angle_alpha 90.00
_cell_angle_beta 90.00
_cell_angle_gamma 90.00
loop_
_atom_site_label
_atom_site_fract_x
_atom_site_fract_y
_atom_site_fract_z
_atom_site_occupancy
Sr1 0.000 0.000 0.000 1
Sn1 0.500 0.500 0.500 1
Te1 0.000 0.500 0.000 1
N1 0.000 0.000 0.500 1
```

Calculated values
Energy above the lowest structure with this stoichiometry, eV per formula unit: 3.23
Raw formation energy, meV per atom: 599
Density of states at the Fermi level, states/eV/cell: 4.45

***

Entry 7:
The following is a DFT calculation (PBE-GGA) of an optimized crystal structure of SrSnTe2N.

```
data_SrSnTe2N
_space_group_name_H-M_alt 'P 4/m m m'
_space_group_IT_number 123
_space_group_name_Hall '-P 4 2'
_cell_length_a 5.933
_cell_length_b 5.933
_cell_length_c 4.135
_cell_angle_alpha 90.00
_cell_angle_beta 90.00
_cell_angle_gamma 90.00
loop_
_atom_site_label
_atom_site_fract_x
_atom_site_fract_y
_atom_site_fract_z
_atom_site_occupancy
Sr1 0.000 0.000 0.000 1
Sn1 0.500 0.500 0.500 1
Te1 0.000 0.500 0.500 1
N1 0.500 0.500 0.000 1
```

Calculated values
Energy above the lowest structure with this stoichiometry, eV per formula unit: 0.00
Raw formation energy, meV per atom: -48
Density of states at the Fermi level, states/eV/cell: 3.25

***

Entry 8:
The following is a DFT calculation (PBE-GGA) of an optimized crystal structure of Sr4Th3SnN8.

```
data_Sr4Th3SnN8
_space_group_name_H-M_alt 'C 1 2/m 1'
_space_group_IT_number 12
_cell_length_a 12.700
_cell_length_b 7.322
_cell_length_c 7.422
_cell_angle_alpha 90.00
_cell_angle_beta 124.70
_cell_angle_gamma 90.00
loop_
_space_group_symop_operation_xyz
'x,y,z'
'-x,-y,-z'
'-x,y,-z'
'x,-y,z'
'x+1/2,y+1/2,z'
'-x+1/2,-y+1/2,-z'
'-x+1/2,y+1/2,-z'
'x+1/2,-y+1/2,z'
loop_
_atom_site_label
_atom_site_fract_x
_atom_site_fract_y
_atom_site_fract_z
_atom_site_occupancy
Sr1 0.000 0.000 0.000 1
Sr2 0.000 0.500 0.000 1
Sr3 0.250 0.250 0.000 1
Th1 0.000 0.000 0.500 1
Th2 0.250 0.250 0.500 1
Sn1 0.000 0.500 0.500 1
N1 0.011 0.251 0.283 1
N2 0.235 0.000 0.707 1
N3 0.240 0.500 0.718 1
```

Calculated values
Raw formation energy, meV per atom: -990
Density of states at the Fermi level, states/eV/cell: 7.74

***

Entry 9:
The following is a DFT calculation (PBE-GGA) of an optimized crystal structure of Sr2TlSnN.

```
data_Sr2TlSnN
_space_group_name_H-M_alt 'P 4/m m m'
_space_group_IT_number 123
_space_group_name_Hall '-P 4 2'
_cell_length_a 5.292
_cell_length_b 5.292
_cell_length_c 4.745
_cell_angle_alpha 90.00
_cell_angle_beta 90.00
_cell_angle_gamma 90.00
loop_
_atom_site_label
_atom_site_fract_x
_atom_site_fract_y
_atom_site_fract_z
_atom_site_occupancy
Sr1 0.000 0.500 0.000 1
Tl1 0.000 0.000 0.500 1
Sn1 0.500 0.500 0.500 1
N1 0.500 0.500 0.000 1
```

Calculated values
Raw formation energy, meV per atom: -353
Density of states at the Fermi level, states/eV/cell: 2.69

***

Entry 10:
The following is a DFT calculation (PBE-GGA) of an optimized crystal structure of Sr2YSnN.

```
data_Sr2YSnN
_space_group_name_H-M_alt 'P 4/m m m'
_space_group_IT_number 123
_space_group_name_Hall '-P 4 2'
_cell_length_a 5.219
_cell_length_b 5.219
_cell_length_c 4.840
_cell_angle_alpha 90.00
_cell_angle_beta 90.00
_cell_angle_gamma 90.00
loop_
_atom_site_label
_atom_site_fract_x
_atom_site_fract_y
_atom_site_fract_z
_atom_site_occupancy
Sr1 0.000 0.500 0.000 1
Y1 0.000 0.000 0.500 1
Sn1 0.500 0.500 0.500 1
N1 0.000 0.000 0.000 1
```

Calculated values
Raw formation energy, meV per atom: -829
Density of states at the Fermi level, states/eV/cell: 0.67

***

Entry 11:
The following is a DFT calculation (PBE-GGA) of an optimized crystal structure of SrY2SnN4.

```
data_SrY2SnN4
_space_group_name_H-M_alt 'C m c m'
_space_group_IT_number 63
_space_group_name_Hall '-C 2c 2'
_cell_length_a 3.494
_cell_length_b 12.155
_cell_length_c 12.303
_cell_angle_alpha 90.00
_cell_angle_beta 90.00
_cell_angle_gamma 90.00
loop_
_atom_site_label
_atom_site_fract_x
_atom_site_fract_y
_atom_site_fract_z
_atom_site_occupancy
Sr1 0.000 0.108 0.250 1
Y1 0.000 0.370 0.031 1
Sn1 0.000 0.158 0.750 1
N1 0.000 0.000 0.000 1
N2 0.000 0.257 0.615 1
N3 0.000 0.442 0.250 1
```

Calculated values
Raw formation energy, meV per atom: -899

***

Entry 12:
The following is a DFT calculation (PBE-GGA) of an optimized crystal structure of Sr2ZnSnN.

```
data_Sr2ZnSnN
_space_group_name_H-M_alt 'P 4/m m m'
_space_group_IT_number 123
_space_group_name_Hall '-P 4 2'
_cell_length_a 5.618
_cell_length_b 5.618
_cell_length_c 3.866
_cell_angle_alpha 90.00
_cell_angle_beta 90.00
_cell_angle_gamma 90.00
loop_
_atom_site_label
_atom_site_fract_x
_atom_site_fract_y
_atom_site_fract_z
_atom_site_occupancy
Sr1 0.000 0.500 0.000 1
Zn1 0.000 0.000 0.500 1
Sn1 0.500 0.500 0.500 1
N1 0.000 0.000 0.000 1
```

Calculated values
Energy above the lowest structure with this stoichiometry, eV per formula unit: 0.59
Raw formation energy, meV per atom: -445
Density of states at the Fermi level, states/eV/cell: 3.09